Density functional theory data (PBE) for a relaxed TlCd2W crystal.

## Properties
energy relative to the lowest polymorph listed for this composition: 0.2465 eV per atom
formation energy from the elements: 781 meV/atom
final energy: -3.5069 eV per atom

abc: 5.719 5.719 5.719
angles: 138.20 138.20 60.59
Each line ends with the local moment (μB).
Sites, in units of the cell vectors:
W1 0.750 0.250 0.500  0.59
Cd1 0.000 0.000 0.000  0.01
Cd2 0.500 0.500 0.000  0.01
Tl1 0.250 0.750 0.500  -0.02

=====

Density functional theory data (PBE) for a relaxed ScTl2Ru crystal.

## Properties
energy relative to the lowest polymorph listed for this composition: 0.3001 eV per atom
formation energy from the elements: 249 meV/atom
final energy: -4.8357 eV per atom

abc: 5.808 5.808 3.349
angles: 73.97 73.97 116.95
Sites, in units of the cell vectors:
Tl1 0.000 0.000 0.000
Tl2 0.500 0.500 0.000
Sc1 0.000 0.500 0.500
Ru1 0.500 0.000 0.500

=====

Density functional theory data (PBE) for a relaxed BaPRu2 crystal.

## Properties
formation energy from the elements: -225 meV/atom
final energy: -6.6959 eV per atom

abc: 6.266 6.266 6.266
angles: 39.44 39.44 39.44
Each line ends with the local moment (μB).
Sites, in units of the cell vectors:
Ru1 0.694 0.694 0.694  0.09
Ru2 0.001 0.001 0.001  0.06
P1 0.309 0.309 0.309  0.00
Ba1 0.506 0.506 0.506  0.00

=====

Table of magnetic moment (μB per formula unit), in record order: 0.8 0.0 0.1